# Cs2BiPbSe4 PBE optimized geometry
data_Cs2BiPbSe4
_chemical_formula_sum 'Cs8 Bi4 Pb4 Se16'
_space_group_name_H-M_alt 'I m m a'
_space_group_IT_number 74
_space_group_name_Hall '-I 2b 2'
_cell_length_a 9.1096
_cell_length_b 9.4228
_cell_length_c 13.1136
_cell_angle_alpha 90.00
_cell_angle_beta 90.00
_cell_angle_gamma 90.00
loop_
_atom_site_label
_atom_site_type_symbol
_atom_site_fract_x
_atom_site_fract_y
_atom_site_fract_z
_atom_site_occupancy
Cs1 Cs 0.0000 0.0000 0.0000 1
Cs2 Cs 0.2500 0.2500 0.2500 1
Bi1 Bi 0.2500 0.2500 0.7500 1
Pb1 Pb 0.0000 0.0000 0.5000 1
Se1 Se 0.0000 0.0383 0.7335 1
Se2 Se 0.2135 0.2500 0.5196 1
# N(E_F)	0.749	states/eV/atom
# formation energy from raw total energies	-0.66	eV/atom
# total energy	-3.5669	eV per atom